# 1
VASP calculation (PBE) on a relaxed structure of Ba3ErAg2O6.

```
12
Lattice="6.2839 0.0000 0.0000 -3.1419 5.4420 0.0000 0.0000 0.0000 6.8668" Properties=species:S:1:pos:R:3 pbc="T T T"
Ba 0.0000 0.0000 0.0000
Ba 0.0000 3.6280 4.2372
Ba 3.1419 1.8140 2.6296
Er 0.0000 0.0000 3.4334
Ag 0.0000 3.6280 0.9537
Ag 3.1419 1.8140 5.9131
O 0.0000 1.7734 2.1176
O -1.6061 4.5553 2.1176
O 1.5358 0.8867 4.7492
O 1.6061 4.5553 2.1176
O 4.7480 0.8867 4.7492
O 3.1419 3.6685 4.7492
```

The formation energy without anion corrections is -1.852 eV per atom. The value obtained for the mass density is 6.30 Mg/m³. The density of states at the Fermi level comes out at 7.56 states/eV/cell. The space-group type is P-3m1. Its total energy is -68.0 eV/cell. For the size of the total moment, the calculation gives 0.00 μB per formula unit.

# 2
VASP calculation (PBE) on a relaxed structure of BaErAgO3.

```
12
Lattice="6.9647 0.0000 0.0000 0.0000 3.6135 0.0000 -2.3082 0.0000 8.9976" Properties=species:S:1:pos:R:3 pbc="T T T"
Ba -0.4057 0.9034 2.7635
Ba 5.0622 2.7101 6.2342
Er 1.6988 0.9034 5.8895
Er 2.9577 2.7101 3.1081
Ag -0.0918 0.9034 8.9670
Ag 4.7483 2.7101 0.0306
O -0.2455 0.9034 6.8930
O 1.0270 2.7101 4.4687
O 2.0804 0.9034 2.0410
O 2.5761 2.7101 6.9567
O 3.6296 0.9034 4.5290
O 4.9020 2.7101 2.1047
```

The formation energy without anion corrections is -2.355 eV per atom. The value obtained for the mass density is 6.75 Mg/m³. The density of states at the Fermi level comes out at 0.00 states/eV/cell. The space-group type is P2_1/m. Its total energy is -76.7 eV/cell. For the size of the total moment, the calculation gives 0.00 μB per formula unit.

# 3
VASP calculation (PBE) on a relaxed structure of BaErAgPb.

```
4
Lattice="0.0000 3.9689 3.9689 3.9689 0.0000 3.9689 3.9689 3.9689 0.0000" Properties=species:S:1:pos:R:3 pbc="T T T"
Ba 0.0000 0.0000 0.0000
Er 3.9689 3.9689 3.9689
Ag 5.9534 5.9534 5.9534
Pb 1.9845 1.9845 1.9845
```

The value obtained for the mass density is 8.23 Mg/m³. The density of states at the Fermi level comes out at 1.20 states/eV/cell. The calculated formation energy comes out at -0.29 eV/atom. The space-group type is F-43m. Its total energy is -14.2 eV/cell. For the size of the total moment, the calculation gives 0.00 μB per formula unit.

# 4
VASP calculation (PBE) on a relaxed structure of Ba2ErAg2Se4.

```
9
Lattice="8.1593 -2.0843 0.0000 8.1593 2.0843 0.0000 -3.2904 0.0000 7.2923" Properties=species:S:1:pos:R:3 pbc="T T T"
Ba 1.9456 0.0000 0.6286
Ba 11.0825 0.0000 6.6637
Er -1.6452 0.0000 3.6461
Ag 3.4673 0.0000 3.6215
Ag 9.5608 0.0000 3.6708
Se 0.6617 0.0000 5.3533
Se 5.4753 0.0000 5.4358
Se 7.5528 0.0000 1.8564
Se 12.3664 0.0000 1.9389
```

The formation energy without anion corrections is -1.294 eV per atom. The value obtained for the mass density is 6.52 Mg/m³. The density of states at the Fermi level comes out at 2.41 states/eV/cell. The space-group type is C2/m. Its total energy is -39.7 eV/cell. For the size of the total moment, the calculation gives 0.00 μB per formula unit.